First-principles (PBE) data for a relaxed structure of Li5ZnCu, as listed in Alexandria.

**Magnetic moment**: 0.000 μB/atom
**Energy above the most stable polymorph in this dataset**: 0.00 eV per formula unit

a = 10.0223 Å, b = 9.8571 Å, c = 4.8408 Å
α = 90.00°, β = 107.11°, γ = 90.00°
Space group C2/c (No. 15)
Symmetry-distinct sites (fractional):
Li 0.0000 0.2320 0.2500 (multiplicity 4)
Li 0.1403 0.3080 0.8377 (multiplicity 8)
Li 0.2467 0.0736 0.5726 (multiplicity 8)
Zn 0.0000 0.0614 0.7500 (multiplicity 4)
Cu 0.0000 0.5000 0.0000 (multiplicity 4)


First-principles (PBE) data for a relaxed structure of Li2ZnCu, as listed in Alexandria.

**Magnetic moment**: 0.000 μB/atom

a = 3.7704 Å, b = 3.7706 Å, c = 3.8891 Å
α = 90.00°, β = 90.00°, γ = 90.00°
Space group Pmmm (No. 47)
Symmetry-distinct sites (fractional):
Li 0.0000 0.0000 0.0000 (multiplicity 1)
Li 0.0000 0.5000 0.5000 (multiplicity 1)
Zn 0.5000 0.0000 0.5000 (multiplicity 1)
Cu 0.5000 0.5000 0.0000 (multiplicity 1)


First-principles (PBE) data for a relaxed structure of LiZn2Cu, as listed in Alexandria.

**Magnetic moment**: 0.000 μB/atom

a = 3.8203 Å, b = 3.8697 Å, c = 7.5768 Å
α = 90.00°, β = 90.00°, γ = 90.00°
Space group Cmm2 (No. 35)
Symmetry-distinct sites (fractional):
Li 0.0000 0.0000 0.0000 (multiplicity 2)
Zn 0.0000 0.0000 0.4751 (multiplicity 2)
Zn 0.0000 0.5000 0.7421 (multiplicity 2)
Cu 0.0000 0.5000 0.2453 (multiplicity 2)


First-principles (PBE) data for a relaxed structure of Li2Zn5Cu5, as listed in Alexandria.

**Magnetic moment**: 0.000 μB/atom

a = 11.0775 Å, b = 3.7677 Å, c = 8.3886 Å
α = 90.00°, β = 116.31°, γ = 90.00°
Space group C2/m (No. 12)
Symmetry-distinct sites (fractional):
Li 0.0833 0.0000 0.2531 (multiplicity 4)
Zn 0.0000 0.0000 0.5000 (multiplicity 2)
Zn 0.1602 0.0000 0.9972 (multiplicity 4)
Zn 0.2488 0.5000 0.2579 (multiplicity 4)
Cu 0.0000 0.5000 0.0000 (multiplicity 2)
Cu 0.0867 0.5000 0.7508 (multiplicity 4)
Cu 0.1637 0.5000 0.4968 (multiplicity 4)


DFT total energy values, unit eV per atom, following the record order: -2.186; -2.395; -2.215; -2.668.
Formation energy values, unit eV/atom, following the record order: -0.0514; -0.0953; -0.0760; -0.1111.
Density of states at the Fermi level values, unit states/eV/cell, following the record order: 10.005; 0.585; 2.642; 4.744.